A plane-wave DFT calculation with PBE+U was carried out for a geometry-optimized LiCrAsCO7 structure.

Output
- Theoretical density: 2.8 g/cm³
- Raw total energy: -0.4936 Ry per atom

a = 5.3842 Å, b = 6.4131 Å, c = 9.0083 Å
α = 90.00°, β = 93.23°, γ = 90.00°
Space group P2_1 (No. 4)
One atom of each set of equivalent atoms:
Li 0.2485 0.0000 0.3371 x2
Cr 0.2012 0.6657 0.8326 x2
As 0.2864 0.1629 0.9345 x2
C 0.2649 0.6918 0.5691 x2
O 0.0447 0.6705 0.6262 x2
O 0.1300 0.1528 0.0961 x2
O 0.2050 0.3681 0.8194 x2
O 0.2074 0.9574 0.8184 x2
O 0.3018 0.7395 0.4395 x2
O 0.3996 0.6665 0.0225 x2
O 0.4454 0.6635 0.6757 x2